(1)
The following is a DFT calculation (PBE) of an optimized crystal structure of K2ZrCuBi.

Cell: 6.765 6.765 5.663 Å, 90.00 90.00 90.00°
Atoms (fractional coordinates):
K1 0.000 0.500 0.000
K2 0.500 0.000 0.000
Zr1 0.000 0.000 0.500
Cu1 0.500 0.500 0.500
Bi1 0.000 0.000 0.000

Computed properties:
energy of formation from the pure elements: 715 meV per atom

---

(2)
The following is a DFT calculation (PBE) of an optimized crystal structure of Pr2BiI.

Cell: 8.390 8.390 8.161 Å, 100.37 100.37 30.14°
Atoms (fractional coordinates):
Pr1 0.017 0.017 0.286
Pr2 0.257 0.257 0.700
Pr3 0.743 0.743 0.300
Pr4 0.983 0.983 0.714
Bi1 0.387 0.387 0.436
Bi2 0.613 0.613 0.564
I1 0.145 0.145 0.027
I2 0.855 0.855 0.973

Computed properties:
energy above the lowest structure with this stoichiometry: 0.0 meV per atom
formation energy without anion corrections: -0.922 eV/atom

---

(3)
The following is a DFT calculation (PBE) of an optimized crystal structure of Cs3AlPt.

Cell: 6.644 6.644 6.644 Å, 90.00 90.00 90.00°
Atoms (fractional coordinates):
Cs1 0.000 0.000 0.500
Cs2 0.000 0.500 0.000
Cs3 0.500 0.000 0.000
Al1 0.500 0.500 0.500
Pt1 0.000 0.000 0.000

Computed properties:
energy of formation from the pure elements: 395 meV per atom

---

(4)
The following is a DFT calculation (PBE) of an optimized crystal structure of Zr3Re2Ag.

Cell: 3.305 3.305 10.513 Å, 90.00 90.00 90.00°
Atoms (fractional coordinates):
Zr1 0.000 0.000 0.000
Zr2 0.000 0.000 0.310
Zr3 0.000 0.000 0.690
Re1 0.500 0.500 0.163
Re2 0.500 0.500 0.837
Ag1 0.500 0.500 0.500

Computed properties:
energy of formation from the pure elements: -205 meV per atom

---

(5)
The following is a DFT calculation (PBE) of an optimized crystal structure of La2Pm3Pr.

Cell: 7.160 10.117 5.868 Å, 90.00 90.00 90.00°
Atoms (fractional coordinates):
La1 0.249 0.167 0.000
La2 0.251 0.667 0.500
La3 0.749 0.333 0.500
La4 0.751 0.833 0.000
Pm1 0.000 0.000 0.500
Pm2 0.250 0.333 0.500
Pm3 0.250 0.833 0.000
Pm4 0.500 0.500 0.000
Pm5 0.750 0.167 0.000
Pm6 0.750 0.667 0.500
Pr1 0.000 0.500 0.000
Pr2 0.500 0.000 0.500

Computed properties:
energy of formation from the pure elements: 52 meV per atom
energy above the lowest structure with this stoichiometry: 0.0 meV per atom

---

(6)
The following is a DFT calculation (PBE) of an optimized crystal structure of PrY2Th3Te6.

Cell: 10.182 10.182 9.166 Å, 108.74 108.74 24.47°
Atoms (fractional coordinates):
Pr1 0.000 0.000 0.000
Y1 0.333 0.333 0.673
Y2 0.667 0.667 0.327
Th1 0.000 0.000 0.500
Th2 0.339 0.339 0.177
Th3 0.661 0.661 0.823
Te1 0.169 0.169 0.087
Te2 0.169 0.169 0.571
Te3 0.494 0.494 0.747
Te4 0.506 0.506 0.253
Te5 0.831 0.831 0.429
Te6 0.831 0.831 0.913

Computed properties:
formation energy without anion corrections: -1.168 eV/atom

---

(7)
The following is a DFT calculation (PBE) of an optimized crystal structure of Cs4Cd5In.

Cell: 9.039 9.039 9.039 Å, 98.13 98.13 135.82°
Atoms (fractional coordinates):
Cs1 0.000 0.297 0.297
Cs2 0.000 0.703 0.703
Cs3 0.297 0.000 0.297
Cs4 0.703 0.000 0.703
Cd1 0.215 0.215 0.000
Cd2 0.353 0.353 0.711
Cd3 0.353 0.641 0.000
Cd4 0.641 0.353 0.000
Cd5 0.641 0.641 0.289
In1 0.780 0.780 0.000

Computed properties:
energy of formation from the pure elements: -14 meV per atom

---

(8)
The following is a DFT calculation (PBE) of an optimized crystal structure of Ac2Mg2Zn3.

Cell: 5.371 5.371 8.539 Å, 115.96 115.96 59.09°
Atoms (fractional coordinates):
Ac1 0.247 0.247 0.167
Ac2 0.753 0.753 0.833
Mg1 0.322 0.322 0.618
Mg2 0.678 0.678 0.382
Zn1 0.010 0.010 0.666
Zn2 0.500 0.500 0.000
Zn3 0.990 0.990 0.334

Computed properties:
energy of formation from the pure elements: -146 meV per atom
energy above the lowest structure with this stoichiometry: 35.9 meV per atom

---

Number 1: D(E_F) 0.46 states/eV per atom. Number 2: D(E_F) 0.61 states/eV per atom. Number 3: D(E_F) 1.33 states/eV per atom. Number 4: D(E_F) 0.58 states/eV per atom. Number 5: D(E_F) 1.42 states/eV per atom. Number 6: D(E_F) 0.85 states/eV per atom. Number 7: D(E_F) 0.60 states/eV per atom. Number 8: D(E_F) 0.70 states/eV per atom.